Entry 1:
This record from Alexandria via LeMat-Bulk describes VCrGa2 after structural relaxation. The functional is GGA-PBE.

Results
Energy above the lowest structure with this stoichiometry ... 37.4 kJ per mole of atoms
Energy of formation ... 335 meV/atom
E_tot ... -93.8 eV for the cell shown

a = 6.854 Å, b = 6.854 Å, c = 5.238 Å
α = 90.00°, β = 90.00°, γ = 90.00°
Space group I-42d (No. 122)
Asymmetric unit:
V1 0.000 0.000 0.000 (multiplicity 4)
Cr1 0.000 0.000 0.500 (multiplicity 4)
Ga1 0.246 0.750 0.625 (multiplicity 8)


Entry 2:
This record from Alexandria via LeMat-Bulk describes YGaIr after structural relaxation. The functional is GGA-PBE.

Results
Energy of formation ... -868 meV/atom
E_tot ... -83.8 eV for the cell shown

a = 6.850 Å, b = 4.367 Å, c = 7.754 Å
α = 90.00°, β = 90.00°, γ = 90.00°
Space group Pnma (No. 62)
Asymmetric unit:
Y1 0.021 0.250 0.190 (multiplicity 4)
Ga1 0.161 0.250 0.571 (multiplicity 4)
Ir1 0.227 0.750 0.393 (multiplicity 4)


Entry 3:
This record from Alexandria via LeMat-Bulk describes ScReHg2 after structural relaxation. The functional is GGA-PBE.

Results
Energy above the lowest structure with this stoichiometry ... 0.0 kJ per mole of atoms
Energy of formation ... 252 meV/atom
E_tot ... -36.8 eV for the cell shown

a = 4.150 Å, b = 4.150 Å, c = 8.755 Å
α = 90.00°, β = 90.00°, γ = 90.00°
Space group I4/mmm (No. 139)
Asymmetric unit:
Sc1 0.000 0.000 0.000 (multiplicity 2)
Re1 0.000 0.000 0.500 (multiplicity 2)
Hg1 0.000 0.500 0.250 (multiplicity 4)


Entry 4:
This record from Alexandria via LeMat-Bulk describes Si2PbBr8 after structural relaxation. The functional is GGA-PBE.

Results
Uncorrected formation energy ... -559.4 meV/atom
E_tot ... -68.2 eV for the cell shown

a = 14.135 Å, b = 9.299 Å, c = 7.560 Å
α = 90.00°, β = 93.20°, γ = 90.00°
Space group C2/m (No. 12)
Asymmetric unit:
Si1 0.193 0.000 0.144 (multiplicity 4)
Pb1 0.000 0.000 0.500 (multiplicity 2)
Br1 0.117 0.000 0.844 (multiplicity 4)
Br2 0.143 0.198 0.311 (multiplicity 8)
Br3 0.147 0.500 0.824 (multiplicity 4)


Entry 5:
This record from Alexandria via LeMat-Bulk describes LuTh2Pb after structural relaxation. The functional is GGA-PBE.

Results
Energy above the lowest structure with this stoichiometry ... 0.0 kJ per mole of atoms
Energy of formation ... -187 meV/atom
E_tot ... -23.8 eV for the cell shown

a = 4.798 Å, b = 4.798 Å, c = 5.128 Å
α = 90.00°, β = 90.00°, γ = 90.00°
Space group P4/mmm (No. 123)
Asymmetric unit:
Lu1 0.000 0.000 0.000 (multiplicity 1)
Th1 0.000 0.500 0.500 (multiplicity 2)
Pb1 0.500 0.500 0.000 (multiplicity 1)


Entry 6:
This record from Alexandria via LeMat-Bulk describes CaPdF2 after structural relaxation. The functional is GGA-PBE.

Results
Energy above the lowest structure with this stoichiometry ... 0.0 kJ per mole of atoms
Uncorrected formation energy ... -2262.2 meV/atom
E_tot ... -60.0 eV for the cell shown

a = 3.7179 Å, b = 3.7179 Å, c = 18.1201 Å
α = 90.00°, β = 90.00°, γ = 120.00°
Space group R-3m (No. 166, hexagonal axes)
Asymmetric unit:
Ca1 0.0000 0.0000 0.0000 (multiplicity 3)
Pd1 0.0000 0.0000 0.5000 (multiplicity 3)
F1 0.0000 0.0000 0.3782 (multiplicity 6)


Entry 7:
This record from Alexandria via LeMat-Bulk describes La2ErScTl2 after structural relaxation. The functional is GGA-PBE.

Results
Energy of formation ... -269 meV/atom
E_tot ... -54.2 eV for the cell shown

a = 4.973 Å, b = 10.050 Å, c = 7.001 Å
α = 90.00°, β = 90.00°, γ = 90.00°
Space group Pmc2_1 (No. 26)
Asymmetric unit:
La1 0.000 0.063 0.000 (multiplicity 2)
La2 0.500 0.177 0.230 (multiplicity 2)
Er1 0.500 0.458 0.883 (multiplicity 2)
Sc1 0.000 0.307 0.582 (multiplicity 2)
Tl1 0.000 0.398 0.154 (multiplicity 2)
Tl2 0.500 0.161 0.708 (multiplicity 2)


Entry 8:
This record from Alexandria via LeMat-Bulk describes PmAl2GaGe after structural relaxation. The functional is GGA-PBE.

Results
Energy of formation ... -211 meV/atom
E_tot ... -20.9 eV for the cell shown

a = 4.161 Å, b = 4.161 Å, c = 7.137 Å
α = 90.00°, β = 90.00°, γ = 90.00°
Space group P4mm (No. 99)
Asymmetric unit:
Pm1 0.000 0.000 0.000 (multiplicity 1)
Al1 0.000 0.500 0.356 (multiplicity 2)
Ga1 0.000 0.000 0.573 (multiplicity 1)
Ge1 0.500 0.500 0.094 (multiplicity 1)